1.
ZnAsOsBr2 | PBE | optimized geometry

## Properties
The calculation puts the density at 6.3 g/cm³. For the raw formation energy, the calculation gives 0.54 eV per atom. The value obtained for the size of the total moment is 0.28 Bohr magnetons per cell. The calculation puts the energy above the most stable polymorph in this dataset at 0.0000 eV/atom.

Cell and atoms, written as CIF:
```
data_ZnAsOsBr2
_cell_length_a 5.264
_cell_length_b 5.264
_cell_length_c 4.689
_cell_angle_alpha 90.00
_cell_angle_beta 90.00
_cell_angle_gamma 90.00
_symmetry_space_group_name_H-M 'P 4/m m m'
_symmetry_Int_Tables_number 123
_symmetry_space_group_name_Hall '-P 4 2'
loop_
_atom_site_label
_atom_site_type_symbol
_atom_site_fract_x
_atom_site_fract_y
_atom_site_fract_z
Zn1 Zn 0.000 0.000 0.000
As1 As 0.500 0.500 0.000
Os1 Os 0.500 0.500 0.500
Br1 Br 0.000 0.500 0.500
```

=====

2.
KGaHgSb | PBE | optimized geometry

## Properties
The calculation puts the density at 6.3 g/cm³. For the raw formation energy, the calculation gives -0.08 eV per atom. The value obtained for the size of the total moment is 0.00 Bohr magnetons per cell.

Cell and atoms, written as CIF:
```
data_KGaHgSb
_cell_length_a 7.672
_cell_length_b 7.672
_cell_length_c 7.672
_cell_angle_alpha 90.00
_cell_angle_beta 90.00
_cell_angle_gamma 90.00
_symmetry_space_group_name_H-M 'F -4 3 m'
_symmetry_Int_Tables_number 216
_symmetry_space_group_name_Hall 'F -4 2 3'
loop_
_atom_site_label
_atom_site_type_symbol
_atom_site_fract_x
_atom_site_fract_y
_atom_site_fract_z
K1 K 0.000 0.000 0.000
Ga1 Ga 0.250 0.250 0.750
Hg1 Hg 0.250 0.250 0.250
Sb1 Sb 0.000 0.000 0.500
```

=====

3.
Nd6CuN3 | PBE | optimized geometry

## Properties
The calculation puts the density at 6.9 g/cm³. For the raw formation energy, the calculation gives -0.74 eV per atom. The value obtained for the size of the total moment is 1.79 Bohr magnetons per cell.

Cell and atoms, written as CIF:
```
data_Nd6CuN3
_cell_length_a 11.247
_cell_length_b 3.642
_cell_length_c 12.389
_cell_angle_alpha 90.00
_cell_angle_beta 113.51
_cell_angle_gamma 90.00
_symmetry_space_group_name_H-M 'P 1 21/m 1'
_symmetry_Int_Tables_number 11
_symmetry_space_group_name_Hall '-P 2yb'
loop_
_atom_site_label
_atom_site_type_symbol
_atom_site_fract_x
_atom_site_fract_y
_atom_site_fract_z
Nd1 Nd 0.032 0.250 0.277
Nd2 Nd 0.144 0.250 0.581
Nd3 Nd 0.159 0.750 0.108
Nd4 Nd 0.313 0.750 0.418
Nd5 Nd 0.357 0.750 0.923
Nd6 Nd 0.458 0.250 0.232
Cu1 Cu 0.141 0.250 0.916
N1 N 0.090 0.750 0.435
N2 N 0.253 0.250 0.268
N3 N 0.490 0.250 0.876
```

=====

4.
Li8SnHg2 | PBE | optimized geometry

## Properties
The calculation puts the density at 4.7 g/cm³. The value obtained for the size of the total moment is 0.00 Bohr magnetons per cell. The calculation puts the energy above the most stable polymorph in this dataset at 0.0000 eV/atom. As for the energy of formation from the pure elements: -312 meV/atom.

Cell and atoms, written as CIF:
```
data_Li8SnHg2
_cell_length_a 4.573
_cell_length_b 7.300
_cell_length_c 12.131
_cell_angle_alpha 90.00
_cell_angle_beta 90.00
_cell_angle_gamma 90.00
_symmetry_space_group_name_H-M 'I m m m'
_symmetry_Int_Tables_number 71
_symmetry_space_group_name_Hall '-I 2 2'
loop_
_atom_site_label
_atom_site_type_symbol
_atom_site_fract_x
_atom_site_fract_y
_atom_site_fract_z
Li1 Li 0.000 0.000 0.146
Li2 Li 0.000 0.207 0.353
Li3 Li 0.000 0.291 0.000
Sn1 Sn 0.000 0.500 0.500
Hg1 Hg 0.000 0.500 0.203
```

=====

Which value of density does entry 3 give?
6.9 g/cm³

=====

Which value of size of the total moment does entry 2 give?
0.00 Bohr magnetons per cell

=====

density of number 4 (Li8SnHg2)?
4.7 g/cm³

=====

Among the records above, which one has the highest density?
Nd6CuN3